(1)
Below is a relaxed Na4Hg2S crystal, with properties calculated at the PBE level.

The structure in POSCAR format:
```
Na4Hg2S
1.0
5.3557 0.0000 0.0000
0.0000 5.3557 0.0000
2.6779 2.6779 7.6733
Na S Hg
4 1 2
Direct
0.8235 0.8235 0.3531
0.1765 0.1765 0.6469
0.0000 0.5000 0.0000
0.5000 0.0000 0.0000
0.0000 0.0000 0.0000
0.6198 0.6198 0.7605
0.3802 0.3802 0.2395
```

Properties
The space group is I4/mmm, No. 139. As for the volume: 31.4 Å³ per atom. As for the mass density: 3.96 g cm⁻³.



(2)
Below is a relaxed NaHg5S5 crystal, with properties calculated at the PBE level.

The structure in POSCAR format:
```
NaHg5S5
1.0
5.8332 0.0000 0.0000
-2.9166 6.4528 -0.3852
0.0000 -2.8791 7.4480
Na Hg S
1 5 5
Direct
0.0000 0.0000 0.0000
0.6890 0.3779 0.3165
0.6370 0.2741 0.8186
0.0000 0.0000 0.5000
0.3630 0.7259 0.1814
0.3110 0.6221 0.6835
0.8600 0.7199 0.1934
0.7820 0.5640 0.6661
0.5000 0.0000 0.0000
0.2180 0.4360 0.3339
0.1400 0.2801 0.8066
```

Properties
The space group is C2/m, No. 12. As for the volume: 24.9 Å³ per atom. As for the mass density: 7.19 g cm⁻³.



(3)
Below is a relaxed Na3Hg2S4 crystal, with properties calculated at the PBE level.

The structure in POSCAR format:
```
Na3Hg2S4
1.0
3.7980 0.0000 0.0000
-1.8990 9.7558 -5.0185
0.0000 -2.4518 7.2570
Na Hg S
3 2 4
Direct
0.2660 0.5319 0.3415
0.0000 0.0000 0.0000
0.7340 0.4681 0.6585
0.3865 0.7731 0.2082
0.6135 0.2269 0.7918
0.3706 0.7412 0.8642
0.6294 0.2588 0.1358
0.1135 0.2271 0.5766
0.8865 0.7729 0.4234
```

Properties
The space group is C2/m, No. 12. As for the volume: 24.7 Å³ per atom. As for the mass density: 4.47 g cm⁻³.



(4)
Below is a relaxed Na2HgS8 crystal, with properties calculated at the PBE level.

The structure in POSCAR format:
```
Na2HgS8
1.0
5.6458 0.0010 -1.7188
-0.6762 5.2482 -2.2354
-0.1702 1.4235 9.6172
Na Hg S
2 1 8
Direct
0.1663 0.4850 0.3346
0.8337 0.5150 0.6654
0.5000 0.0000 0.0000
0.6987 0.8532 0.3980
0.3296 0.5109 0.6582
0.1915 0.0087 0.3829
0.0003 0.3302 0.0005
0.8085 0.9913 0.6171
0.6704 0.4891 0.3418
0.3013 0.1468 0.6020
0.9997 0.6698 0.9995
```

Properties
The space group is P-1, No. 2. As for the volume: 27.6 Å³ per atom. As for the mass density: 2.76 g cm⁻³.



(5)
Below is a relaxed Na2Hg2S3 crystal, with properties calculated at the PBE level.

The structure in POSCAR format:
```
Na2Hg2S3
1.0
-4.2575 5.0877 3.2994
-9.6959 -0.3391 -3.6641
-4.4336 -3.8541 8.5464
Na Hg S
8 8 12
Direct
0.9350 0.0255 0.1941
0.4350 0.1941 0.0255
0.7500 0.2795 0.7205
0.7500 0.5699 0.4301
0.2500 0.4301 0.5699
0.2500 0.7205 0.2795
0.5650 0.8059 0.9745
0.0650 0.9745 0.8059
0.6110 0.3664 0.2180
0.5583 0.1048 0.5871
0.1110 0.2180 0.3664
0.0583 0.5871 0.1048
0.9417 0.4129 0.8952
0.8890 0.7820 0.6336
0.4417 0.8952 0.4129
0.3890 0.6336 0.7820
0.7099 0.2906 0.4410
0.6977 0.5956 0.1478
0.2099 0.4410 0.2906
0.1977 0.1478 0.5956
0.8138 0.2152 0.9991
0.1862 0.7848 0.0009
0.8023 0.8522 0.4044
0.7901 0.5590 0.7094
0.3138 0.9991 0.2152
0.3023 0.4044 0.8522
0.2901 0.7094 0.5590
0.6862 0.0009 0.7848
```

Properties
Its energy above the most stable polymorph in this dataset is 0 meV per atom. The space group is C2/c, No. 15. As for the volume: 24.8 Å³ per atom. As for the mass density: 5.19 g cm⁻³.



(6)
Below is a relaxed Na2Hg2S3 crystal, with properties calculated at the PBE level.

The structure in POSCAR format:
```
Na2Hg2S3
1.0
-2.6047 -0.3851 -3.2172
2.1810 -6.4712 -0.9912
-4.0185 0.2650 5.9077
Na Hg S
2 2 3
Direct
0.3899 0.1218 0.7798
0.6101 0.8782 0.2202
0.1643 0.3159 0.3285
0.8357 0.6841 0.6715
0.0000 0.0000 0.0000
0.2122 0.7094 0.4244
0.7878 0.2906 0.5756
```

Properties
Its energy above the most stable polymorph in this dataset is 40 meV per atom. The space group is C2/m, No. 12. As for the volume: 26.3 Å³ per atom. As for the mass density: 4.90 g cm⁻³.



Number 1: E_form (uncorrected) -0.423 eV/atom. Number 2: E_form (uncorrected) -0.134 eV/atom. Number 3: E_form (uncorrected) -0.534 eV/atom. Number 4: E_form (uncorrected) -0.190 eV/atom. Number 5: E_form (uncorrected) -0.550 eV/atom. Number 6: E_form (uncorrected) -0.510 eV/atom.